1.
Material: Th3Ga4Au2
Method: DFT, PBE
State: relaxed

symmetry	C2/m, No. 12
crystal system	monoclinic
raw total energy	-0.1906	hartree per atom
DFT formation energy	-0.641	eV/atom
D(E_F)	5.9	states/eV/cell

a b c (Å): 4.5306 5.9226 8.7404
angles (deg): 106.94 90.00 112.49
Element x y z (fractional)
Th1 0.6530 0.3060 0.6790
Th2 0.0000 0.0000 0.0000
Th3 0.3470 0.6940 0.3210
Ga1 0.7193 0.4386 0.0528
Ga2 0.2807 0.5614 0.9472
Ga3 0.9285 0.8569 0.5964
Ga4 0.0715 0.1431 0.4036
Au1 0.6385 0.2771 0.3032
Au2 0.3615 0.7229 0.6968

---

2.
Material: LaP2Br
Method: DFT, PBE
State: relaxed

symmetry	Imm2, No. 44
ΔE to the lowest computed polymorph	79	meV per atom
crystal system	orthorhombic
raw total energy	-0.1930	hartree per atom
D(E_F)	0.8	states/eV/cell

a b c (Å): 5.5244 5.5244 5.5244
angles (deg): 140.54 122.16 72.28
Element x y z (fractional)
Br1 0.5244 0.5244 0.0000
La1 0.2496 0.7496 0.5000
P1 0.9362 0.9362 0.0000
P2 0.7898 0.2898 0.5000

---

3.
Material: K2PbAu
Method: DFT, PBE
State: relaxed

symmetry	R3m, No. 160
crystal system	trigonal
raw total energy	-0.0918	hartree per atom
DFT formation energy	-0.202	eV/atom
D(E_F)	2.9	states/eV/cell

a b c (Å): 5.1294 5.1294 7.0164
angles (deg): 68.62 68.62 59.99
Element x y z (fractional)
Pb1 0.5419 0.5419 0.3741
K1 0.9812 0.9812 0.0565
K2 0.7706 0.7706 0.6887
Au1 0.2064 0.2064 0.3807

---

4.
Material: Mg2AlRu
Method: DFT, PBE
State: relaxed

symmetry	F-43m, No. 216
crystal system	cubic
raw total energy	-0.1550	hartree per atom
DFT formation energy	-0.165	eV/atom
D(E_F)	2.7	states/eV/cell

a b c (Å): 4.4953 4.4953 4.4953
angles (deg): 60.00 60.00 60.00
Element x y z (fractional)
Al1 0.5000 0.5000 0.5000
Mg1 0.0000 0.0000 0.0000
Mg2 0.2500 0.2500 0.2500
Ru1 0.7500 0.7500 0.7500